VASP calculation (GGA-PBEsol) on a geometry-optimized CuCIN2 structure.

The calculation puts the density of states at the Fermi level at 0.472 states/eV per atom. Its uncorrected formation energy is 2.41 eV per atom. The value obtained for the raw total energy is -20.76 eV/cell.

Cell and atoms, written as POSCAR:
```
CuCIN2
1.0
3.5151 0.0000 0.0000
0.0000 3.5151 0.0000
0.0000 0.0000 7.3359
I C N Cu
1 1 2 1
direct
0.0000 0.0000 0.5000 I
0.5000 0.5000 0.5000 C
0.0000 0.5000 0.0000 N
0.5000 0.0000 0.0000 N
0.0000 0.0000 0.0000 Cu
```